Entry 1:
VASP calculation (GGA+U) on a relaxed structure of NaMgFe2F8.

CIF file:
```
data_NaMgFe2F8
_cell_length_a 5.7829
_cell_length_b 5.7829
_cell_length_c 6.4139
_cell_angle_alpha 90.00
_cell_angle_beta 90.00
_cell_angle_gamma 120.00
_space_group_name_H-M_alt 'P -3'
_space_group_IT_number 147
_space_group_name_Hall '-P 3'
loop_
_atom_site_label
_atom_site_type_symbol
_atom_site_fract_x
_atom_site_fract_y
_atom_site_fract_z
Na1 Na 0.0000 0.0000 0.0000
Mg1 Mg 0.0000 0.0000 0.5000
Fe1 Fe 0.3333 0.6667 0.7897
F1 F 0.1510 0.8457 0.6973
F2 F 0.3333 0.6667 0.0794
```

- magnetization (μB per cell) = 9.0
- E_tot (eV/atom) = -5.0147
- density of states at the Fermi level (states/eV/atom) = 0.80
- volume (A^3/atom) = 15.5


Entry 2:
VASP calculation (GGA+U) on a relaxed structure of Na2MgFeF7.

CIF file:
```
data_Na2MgFeF7
_cell_length_a 7.278
_cell_length_b 10.412
_cell_length_c 7.557
_cell_angle_alpha 90.00
_cell_angle_beta 90.00
_cell_angle_gamma 90.00
_space_group_name_H-M_alt 'I m m a'
_space_group_IT_number 74
_space_group_name_Hall '-I 2b 2'
loop_
_atom_site_label
_atom_site_type_symbol
_atom_site_fract_x
_atom_site_fract_y
_atom_site_fract_z
Na1 Na 0.000 0.000 0.000
Na2 Na 0.250 0.250 0.250
Mg1 Mg 0.250 0.250 0.750
Fe1 Fe 0.000 0.000 0.500
F1 F 0.000 0.092 0.270
F2 F 0.000 0.250 0.843
F3 F 0.198 0.116 0.567
```

- magnetization (μB per cell) = 20.0
- E_tot (eV/atom) = -5.0018
- density of states at the Fermi level (states/eV/atom) = 0.00
- volume (A^3/atom) = 13.0


Entry 3:
VASP calculation (GGA+U) on a relaxed structure of MgFe8O14F2.

CIF file:
```
data_MgFe8O14F2
_cell_length_a 5.718
_cell_length_b 7.311
_cell_length_c 7.665
_cell_angle_alpha 82.35
_cell_angle_beta 71.31
_cell_angle_gamma 70.68
_space_group_name_H-M_alt 'P 1'
_space_group_IT_number 1
_space_group_name_Hall 'P 1'
loop_
_atom_site_label
_atom_site_type_symbol
_atom_site_fract_x
_atom_site_fract_y
_atom_site_fract_z
Mg1 Mg 0.000 0.000 0.000
Fe1 Fe 0.067 0.372 0.666
Fe2 Fe 0.138 0.846 0.623
Fe3 Fe 0.387 0.587 0.864
Fe4 Fe 0.482 0.109 0.822
Fe5 Fe 0.551 0.889 0.196
Fe6 Fe 0.635 0.385 0.132
Fe7 Fe 0.887 0.123 0.384
Fe8 Fe 0.961 0.598 0.327
O1 O 0.050 0.760 0.871
O2 O 0.071 0.616 0.536
O3 O 0.177 0.101 0.741
O4 O 0.231 0.957 0.382
O5 O 0.290 0.529 0.123
O6 O 0.317 0.377 0.778
O7 O 0.470 0.712 0.633
O8 O 0.610 0.107 0.030
O9 O 0.696 0.612 0.219
O10 O 0.729 0.455 0.863
O11 O 0.797 0.014 0.631
O12 O 0.853 0.883 0.272
O13 O 0.951 0.349 0.463
O14 O 0.968 0.222 0.139
F1 F 0.391 0.872 0.986
F2 F 0.530 0.266 0.387
```

- magnetization (μB per cell) = 32.0
- E above lowest polymorph (eV per atom) = 0.038
- E_tot (eV/atom) = -6.1276
- density of states at the Fermi level (states/eV/atom) = 0.14
- volume (A^3/atom) = 11.5


Entry 4:
VASP calculation (GGA+U) on a relaxed structure of MgFe8O14F2.

CIF file:
```
data_MgFe8O14F2
_cell_length_a 5.010
_cell_length_b 5.056
_cell_length_c 11.552
_cell_angle_alpha 89.62
_cell_angle_beta 89.82
_cell_angle_gamma 82.87
_space_group_name_H-M_alt 'P 1'
_space_group_IT_number 1
_space_group_name_Hall 'P 1'
loop_
_atom_site_label
_atom_site_type_symbol
_atom_site_fract_x
_atom_site_fract_y
_atom_site_fract_z
Mg1 Mg 0.000 0.000 0.000
Fe1 Fe 0.046 0.625 0.377
Fe2 Fe 0.050 0.608 0.624
Fe3 Fe 0.472 0.044 0.495
Fe4 Fe 0.477 0.037 0.750
Fe5 Fe 0.487 0.059 0.001
Fe6 Fe 0.510 0.015 0.247
Fe7 Fe 0.930 0.493 0.865
Fe8 Fe 0.930 0.497 0.126
O1 O 0.152 0.353 0.997
O2 O 0.183 0.366 0.749
O3 O 0.201 0.385 0.497
O4 O 0.302 0.876 0.622
O5 O 0.302 0.902 0.887
O6 O 0.302 0.903 0.117
O7 O 0.303 0.880 0.371
O8 O 0.658 0.183 0.371
O9 O 0.700 0.196 0.882
O10 O 0.704 0.187 0.118
O11 O 0.779 0.709 0.997
O12 O 0.790 0.728 0.747
O13 O 0.797 0.711 0.251
O14 O 0.813 0.759 0.501
F1 F 0.197 0.372 0.247
F2 F 0.658 0.215 0.623
```

- magnetization (μB per cell) = 30.0
- E above lowest polymorph (eV per atom) = 0.114
- E_tot (eV/atom) = -6.0522
- density of states at the Fermi level (states/eV/atom) = 0.25
- volume (A^3/atom) = 11.6


Entry 5:
VASP calculation (GGA+U) on a relaxed structure of MgFe8O14F2.

CIF file:
```
data_MgFe8O14F2
_cell_length_a 5.556
_cell_length_b 6.874
_cell_length_c 7.403
_cell_angle_alpha 79.07
_cell_angle_beta 70.98
_cell_angle_gamma 75.42
_space_group_name_H-M_alt 'P 1'
_space_group_IT_number 1
_space_group_name_Hall 'P 1'
loop_
_atom_site_label
_atom_site_type_symbol
_atom_site_fract_x
_atom_site_fract_y
_atom_site_fract_z
Mg1 Mg 0.000 0.000 0.000
Fe1 Fe 0.340 0.297 0.590
Fe2 Fe 0.348 0.331 0.104
Fe3 Fe 0.422 0.807 0.611
Fe4 Fe 0.435 0.807 0.121
Fe5 Fe 0.785 0.118 0.719
Fe6 Fe 0.867 0.564 0.857
Fe7 Fe 0.883 0.564 0.359
Fe8 Fe 0.906 0.055 0.361
O1 O 0.023 0.492 0.089
O2 O 0.041 0.798 0.255
O3 O 0.101 0.985 0.562
O4 O 0.212 0.092 0.153
O5 O 0.216 0.391 0.367
O6 O 0.316 0.834 0.855
O7 O 0.467 0.267 0.838
O8 O 0.543 0.535 0.047
O9 O 0.552 0.740 0.352
O10 O 0.581 0.026 0.559
O11 O 0.740 0.321 0.460
O12 O 0.747 0.634 0.621
O13 O 0.765 0.867 0.919
O14 O 0.996 0.263 0.793
F1 F 0.226 0.583 0.664
F2 F 0.677 0.145 0.166
```

- magnetization (μB per cell) = 26.0
- E above lowest polymorph (eV per atom) = 0.154
- E_tot (eV/atom) = -6.0122
- density of states at the Fermi level (states/eV/atom) = 0.22
- volume (A^3/atom) = 10.3


Entry 6:
VASP calculation (GGA+U) on a relaxed structure of MgFe8O14F2.

CIF file:
```
data_MgFe8O14F2
_cell_length_a 5.751
_cell_length_b 7.284
_cell_length_c 7.735
_cell_angle_alpha 83.26
_cell_angle_beta 71.69
_cell_angle_gamma 70.88
_space_group_name_H-M_alt 'P 1'
_space_group_IT_number 1
_space_group_name_Hall 'P 1'
loop_
_atom_site_label
_atom_site_type_symbol
_atom_site_fract_x
_atom_site_fract_y
_atom_site_fract_z
Mg1 Mg 0.000 0.000 0.000
Fe1 Fe 0.134 0.372 0.608
Fe2 Fe 0.185 0.867 0.581
Fe3 Fe 0.397 0.150 0.852
Fe4 Fe 0.467 0.605 0.813
Fe5 Fe 0.518 0.400 0.160
Fe6 Fe 0.568 0.865 0.140
Fe7 Fe 0.807 0.144 0.412
Fe8 Fe 0.871 0.655 0.374
O1 O 0.055 0.268 0.854
O2 O 0.059 0.144 0.534
O3 O 0.205 0.469 0.356
O4 O 0.230 0.603 0.678
O5 O 0.273 0.051 0.089
O6 O 0.314 0.883 0.780
O7 O 0.476 0.360 0.929
O8 O 0.485 0.213 0.600
O9 O 0.516 0.796 0.393
O10 O 0.533 0.648 0.035
O11 O 0.684 0.127 0.203
O12 O 0.793 0.545 0.618
O13 O 0.933 0.742 0.132
O14 O 0.958 0.869 0.450
F1 F 0.756 0.965 0.868
F2 F 0.771 0.413 0.297
```

- magnetization (μB per cell) = 34.0
- E above lowest polymorph (eV per atom) = 0.008
- E_tot (eV/atom) = -6.1578
- density of states at the Fermi level (states/eV/atom) = 0.21
- volume (A^3/atom) = 11.6


Entry 7:
VASP calculation (GGA+U) on a relaxed structure of MgFe8O14F2.

CIF file:
```
data_MgFe8O14F2
_cell_length_a 4.819
_cell_length_b 4.842
_cell_length_c 11.777
_cell_angle_alpha 89.36
_cell_angle_beta 89.79
_cell_angle_gamma 89.67
_space_group_name_H-M_alt 'P 1'
_space_group_IT_number 1
_space_group_name_Hall 'P 1'
loop_
_atom_site_label
_atom_site_type_symbol
_atom_site_fract_x
_atom_site_fract_y
_atom_site_fract_z
Mg1 Mg 0.000 0.000 0.000
Fe1 Fe 0.021 0.501 0.500
Fe2 Fe 0.027 0.516 0.258
Fe3 Fe 0.065 0.500 0.991
Fe4 Fe 0.490 0.970 0.133
Fe5 Fe 0.520 0.992 0.618
Fe6 Fe 0.520 0.997 0.872
Fe7 Fe 0.524 0.009 0.374
Fe8 Fe 0.980 0.528 0.746
O1 O 0.167 0.721 0.121
O2 O 0.177 0.749 0.875
O3 O 0.197 0.696 0.619
O4 O 0.209 0.694 0.380
O5 O 0.335 0.192 0.494
O6 O 0.341 0.195 0.250
O7 O 0.346 0.204 0.007
O8 O 0.671 0.783 0.007
O9 O 0.684 0.810 0.744
O10 O 0.693 0.802 0.252
O11 O 0.709 0.814 0.492
O12 O 0.831 0.313 0.618
O13 O 0.838 0.314 0.377
O14 O 0.851 0.281 0.882
F1 F 0.333 0.226 0.747
F2 F 0.854 0.266 0.121
```

- magnetization (μB per cell) = 1.1
- E above lowest polymorph (eV per atom) = 0.019
- E_tot (eV/atom) = -6.1471
- density of states at the Fermi level (states/eV/atom) = 0.34
- volume (A^3/atom) = 11.0


Entry 8:
VASP calculation (GGA+U) on a relaxed structure of MgFe8O14F2.

CIF file:
```
data_MgFe8O14F2
_cell_length_a 5.573
_cell_length_b 7.267
_cell_length_c 7.540
_cell_angle_alpha 82.87
_cell_angle_beta 69.83
_cell_angle_gamma 71.47
_space_group_name_H-M_alt 'P 1'
_space_group_IT_number 1
_space_group_name_Hall 'P 1'
loop_
_atom_site_label
_atom_site_type_symbol
_atom_site_fract_x
_atom_site_fract_y
_atom_site_fract_z
Mg1 Mg 0.000 0.000 0.000
Fe1 Fe 0.222 0.626 0.646
Fe2 Fe 0.240 0.142 0.609
Fe3 Fe 0.248 0.611 0.143
Fe4 Fe 0.297 0.122 0.163
Fe5 Fe 0.701 0.885 0.847
Fe6 Fe 0.719 0.396 0.864
Fe7 Fe 0.752 0.362 0.383
Fe8 Fe 0.770 0.875 0.389
O1 O 0.071 0.895 0.736
O2 O 0.101 0.711 0.407
O3 O 0.104 0.389 0.221
O4 O 0.368 0.876 0.035
O5 O 0.372 0.546 0.867
O6 O 0.389 0.369 0.542
O7 O 0.424 0.026 0.366
O8 O 0.579 0.977 0.632
O9 O 0.588 0.463 0.134
O10 O 0.627 0.135 0.964
O11 O 0.862 0.614 0.792
O12 O 0.884 0.295 0.608
O13 O 0.901 0.773 0.142
O14 O 0.919 0.104 0.268
F1 F 0.089 0.234 0.881
F2 F 0.594 0.645 0.473
```

- magnetization (μB per cell) = 30.0
- E above lowest polymorph (eV per atom) = 0.074
- E_tot (eV/atom) = -6.0920
- density of states at the Fermi level (states/eV/atom) = 0.28
- volume (A^3/atom) = 10.9


Entry 9:
VASP calculation (GGA+U) on a relaxed structure of MgFe8O14F2.

CIF file:
```
data_MgFe8O14F2
_cell_length_a 5.716
_cell_length_b 7.262
_cell_length_c 7.724
_cell_angle_alpha 84.35
_cell_angle_beta 71.37
_cell_angle_gamma 71.59
_space_group_name_H-M_alt 'P 1'
_space_group_IT_number 1
_space_group_name_Hall 'P 1'
loop_
_atom_site_label
_atom_site_type_symbol
_atom_site_fract_x
_atom_site_fract_y
_atom_site_fract_z
Mg1 Mg 0.000 0.000 0.000
Fe1 Fe 0.161 0.368 0.638
Fe2 Fe 0.205 0.829 0.591
Fe3 Fe 0.421 0.130 0.882
Fe4 Fe 0.483 0.592 0.843
Fe5 Fe 0.557 0.391 0.190
Fe6 Fe 0.569 0.872 0.152
Fe7 Fe 0.818 0.128 0.423
Fe8 Fe 0.877 0.618 0.400
O1 O 0.084 0.255 0.875
O2 O 0.231 0.452 0.385
O3 O 0.248 0.578 0.711
O4 O 0.256 0.042 0.116
O5 O 0.323 0.862 0.796
O6 O 0.475 0.354 0.975
O7 O 0.509 0.198 0.629
O8 O 0.526 0.785 0.400
O9 O 0.547 0.635 0.067
O10 O 0.682 0.112 0.223
O11 O 0.732 0.959 0.898
O12 O 0.785 0.394 0.322
O13 O 0.812 0.522 0.656
O14 O 0.958 0.853 0.465
F1 F 0.083 0.129 0.550
F2 F 0.966 0.736 0.132
```

- magnetization (μB per cell) = 34.0
- E above lowest polymorph (eV per atom) = 0.000
- E_tot (eV/atom) = -6.1660
- density of states at the Fermi level (states/eV/atom) = 0.22
- volume (A^3/atom) = 11.5


Entry 10:
VASP calculation (GGA+U) on a relaxed structure of MgFePbF6.

CIF file:
```
data_MgFePbF6
_cell_length_a 5.4499
_cell_length_b 5.4499
_cell_length_c 10.5004
_cell_angle_alpha 90.00
_cell_angle_beta 90.00
_cell_angle_gamma 120.00
_space_group_name_H-M_alt 'P -3 1 c'
_space_group_IT_number 163
_space_group_name_Hall '-P 3 2c'
loop_
_atom_site_label
_atom_site_type_symbol
_atom_site_fract_x
_atom_site_fract_y
_atom_site_fract_z
Mg1 Mg 0.3333 0.6667 0.2500
Fe1 Fe 0.3333 0.6667 0.7500
Pb1 Pb 0.0000 0.0000 0.0000
F1 F 0.0111 0.3714 0.1442
```

- magnetization (μB per cell) = 8.0
- E_tot (eV/atom) = -5.1361
- density of states at the Fermi level (states/eV/atom) = 0.81
- volume (A^3/atom) = 15.0


Entry 11:
VASP calculation (GGA+U) on a relaxed structure of MgFeSnF6.

CIF file:
```
data_MgFeSnF6
_cell_length_a 5.123
_cell_length_b 5.401
_cell_length_c 5.472
_cell_angle_alpha 60.51
_cell_angle_beta 89.87
_cell_angle_gamma 89.68
_space_group_name_H-M_alt 'P 1'
_space_group_IT_number 1
_space_group_name_Hall 'P 1'
loop_
_atom_site_label
_atom_site_type_symbol
_atom_site_fract_x
_atom_site_fract_y
_atom_site_fract_z
Mg1 Mg 0.000 0.000 0.000
Fe1 Fe 0.000 0.670 0.660
Sn1 Sn 0.500 0.341 0.318
F1 F 0.206 0.328 0.702
F2 F 0.215 0.984 0.314
F3 F 0.223 0.697 0.981
F4 F 0.777 0.322 0.980
F5 F 0.784 0.703 0.314
F6 F 0.794 0.970 0.701
```

- magnetization (μB per cell) = 4.0
- E_tot (eV/atom) = -5.2346
- density of states at the Fermi level (states/eV/atom) = 0.00
- volume (A^3/atom) = 14.6


Entry 12:
VASP calculation (GGA+U) on a relaxed structure of MgTlFeF2.

CIF file:
```
data_MgTlFeF2
_cell_length_a 4.661
_cell_length_b 4.661
_cell_length_c 5.487
_cell_angle_alpha 90.00
_cell_angle_beta 90.00
_cell_angle_gamma 90.00
_space_group_name_H-M_alt 'P 4/m m m'
_space_group_IT_number 123
_space_group_name_Hall '-P 4 2'
loop_
_atom_site_label
_atom_site_type_symbol
_atom_site_fract_x
_atom_site_fract_y
_atom_site_fract_z
Mg1 Mg 0.000 0.000 0.000
Tl1 Tl 0.500 0.500 0.500
Fe1 Fe 0.500 0.500 0.000
F1 F 0.000 0.500 0.500
```

- magnetization (μB per cell) = 3.4
- E_tot (eV/atom) = -3.1814
- density of states at the Fermi level (states/eV/atom) = 0.38
- volume (A^3/atom) = 23.8


Entry 13:
VASP calculation (GGA+U) on a relaxed structure of MgTl2FeF6.

CIF file:
```
data_MgTl2FeF6
_cell_length_a 5.860
_cell_length_b 5.950
_cell_length_c 8.458
_cell_angle_alpha 90.00
_cell_angle_beta 90.00
_cell_angle_gamma 90.00
_space_group_name_H-M_alt 'I m m m'
_space_group_IT_number 71
_space_group_name_Hall '-I 2 2'
loop_
_atom_site_label
_atom_site_type_symbol
_atom_site_fract_x
_atom_site_fract_y
_atom_site_fract_z
Mg1 Mg 0.000 0.000 0.000
Tl1 Tl 0.000 0.500 0.248
Fe1 Fe 0.000 0.000 0.500
F1 F 0.000 0.000 0.242
F2 F 0.249 0.244 0.000
```

- magnetization (μB per cell) = 8.0
- E_tot (eV/atom) = -4.8381
- density of states at the Fermi level (states/eV/atom) = 0.00
- volume (A^3/atom) = 14.7


Entry 14:
VASP calculation (GGA+U) on a relaxed structure of MnFe2F6.

CIF file:
```
data_MnFe2F6
_cell_length_a 4.857
_cell_length_b 4.857
_cell_length_c 9.982
_cell_angle_alpha 90.00
_cell_angle_beta 90.00
_cell_angle_gamma 90.00
_space_group_name_H-M_alt 'P 42/m n m'
_space_group_IT_number 136
_space_group_name_Hall '-P 4n 2n'
loop_
_atom_site_label
_atom_site_type_symbol
_atom_site_fract_x
_atom_site_fract_y
_atom_site_fract_z
Mn1 Mn 0.000 0.000 0.000
Fe1 Fe 0.000 0.000 0.334
F1 F 0.193 0.193 0.500
F2 F 0.201 0.201 0.168
```

- magnetization (μB per cell) = 26.0
- E above lowest polymorph (eV per atom) = 0.000
- E_tot (eV/atom) = -5.8687
- density of states at the Fermi level (states/eV/atom) = 0.00
- volume (A^3/atom) = 13.1


Entry 15:
VASP calculation (GGA+U) on a relaxed structure of MnFeF5.

CIF file:
```
data_MnFeF5
_cell_length_a 8.806
_cell_length_b 6.393
_cell_length_c 7.628
_cell_angle_alpha 90.00
_cell_angle_beta 115.71
_cell_angle_gamma 90.00
_space_group_name_H-M_alt 'C 1 2/c 1'
_space_group_IT_number 15
_space_group_name_Hall '-C 2yc'
loop_
_atom_site_label
_atom_site_type_symbol
_atom_site_fract_x
_atom_site_fract_y
_atom_site_fract_z
Mn1 Mn 0.000 0.035 0.250
Fe1 Fe 0.000 0.500 0.000
F1 F 0.000 0.405 0.250
F2 F 0.020 0.200 0.965
F3 F 0.240 0.466 0.627
```

- magnetization (μB per cell) = 40.0
- E_tot (eV/atom) = -5.7485
- density of states at the Fermi level (states/eV/atom) = 0.00
- volume (A^3/atom) = 13.8